Entry 1:
First-principles (PBE-GGA) data for a geometry-optimized Zn2PCl structure, as listed in Alexandria via LeMat-Bulk. Values from VASP.

Quantum ESPRESSO input file:
```
&SYSTEM
  ibrav = 0, nat = 4, ntyp = 3
/
ATOMIC_SPECIES
Cl 35.45 Cl.upf
P 30.97 P.upf
Zn 65.41 Zn.upf
CELL_PARAMETERS angstrom
6.488 -0.001 0.000
5.400 3.596 0.000
5.400 1.633 3.204
ATOMIC_POSITIONS crystal
Cl 0.250 0.250 0.250
P 0.750 0.750 0.750
Zn 0.020 0.020 0.020
Zn 0.480 0.480 0.480
```

raw formation energy: -0.31 eV/atom
space-group type: No. 166
energy above the most stable polymorph in this dataset: 0.218 eV/atom

Entry 2:
First-principles (PBE-GGA) data for a geometry-optimized CaSc2Co structure, as listed in Alexandria via LeMat-Bulk. Values from VASP.

Quantum ESPRESSO input file:
```
&SYSTEM
  ibrav = 0, nat = 4, ntyp = 3
/
ATOMIC_SPECIES
Sc 44.96 Sc.upf
Ca 40.08 Ca.upf
Co 58.93 Co.upf
CELL_PARAMETERS angstrom
-2.325 -1.611 -1.802
1.110 -2.933 1.188
-5.187 0.549 6.201
ATOMIC_POSITIONS crystal
Sc 0.000 0.000 0.940
Sc 0.500 0.500 0.208
Ca 0.000 0.000 0.554
Co 0.500 0.500 0.798
```

space-group type: No. 99
energy above the most stable polymorph in this dataset: 0.131 eV/atom

Entry 3:
First-principles (PBE-GGA) data for a geometry-optimized LiMg2Cd structure, as listed in Alexandria via LeMat-Bulk. Values from VASP.

Quantum ESPRESSO input file:
```
&SYSTEM
  ibrav = 0, nat = 4, ntyp = 3
/
ATOMIC_SPECIES
Mg 24.30 Mg.upf
Li 6.94 Li.upf
Cd 112.41 Cd.upf
CELL_PARAMETERS angstrom
-2.194 2.999 3.026
-0.147 -2.186 2.060
5.048 0.777 2.891
ATOMIC_POSITIONS crystal
Mg 0.000 0.982 0.995
Mg 0.000 0.518 0.505
Li 0.500 0.750 0.750
Cd 0.500 0.250 0.250
```

space-group type: No. 10
VASP energy: -1.6028 eV per atom

Entry 4:
First-principles (PBE-GGA) data for a geometry-optimized CaRe2Pb structure, as listed in Alexandria via LeMat-Bulk. Values from VASP.

Quantum ESPRESSO input file:
```
&SYSTEM
  ibrav = 0, nat = 4, ntyp = 3
/
ATOMIC_SPECIES
Pb 207.20 Pb.upf
Re 186.21 Re.upf
Ca 40.08 Ca.upf
CELL_PARAMETERS angstrom
-1.562 -2.238 -3.269
1.242 -4.028 -0.610
-4.863 -4.106 2.365
ATOMIC_POSITIONS crystal
Pb 0.724 0.724 0.828
Re 0.971 0.971 0.087
Re 0.291 0.291 0.128
Ca 0.515 0.515 0.456
```

space-group type: No. 160
VASP energy: -7.3255 eV per atom

Number 1: total moment 0.0000 μB/atom. Number 2: total moment 0.2982 μB/atom. Number 3: total moment 0.0000 μB/atom. Number 4: total moment 0.0000 μB/atom.